Density functional theory data (GGA-PBE) for La2NdPd9 after structural relaxation.

Formation energy (meV/atom): -782

a b c (Å): 4.2245 4.2245 12.6629
angles (deg): 90.00 90.00 90.00
Sites, in units of the cell vectors:
La 0.0000 0.0000 0.1682
La 0.0000 0.0000 0.8318
Nd 0.0000 0.0000 0.5000
Pd 0.0000 0.5000 0.0000
Pd 0.0000 0.5000 0.3345
Pd 0.0000 0.5000 0.6655
Pd 0.5000 0.0000 0.0000
Pd 0.5000 0.0000 0.3345
Pd 0.5000 0.0000 0.6655
Pd 0.5000 0.5000 0.1670
Pd 0.5000 0.5000 0.5000
Pd 0.5000 0.5000 0.8330